A relaxed structure of NaFe4F8. Source: the Alexandria database, functional GGA+U.

The structure belongs to space group R-3m (No. 166, hexagonal axes); the cell edges are 6.5344, 6.5344 and 16.3804 Å and the angles 90.00°, 90.00° and 120.00°. The distinct sites, in fractional coordinates, are Na at (0.0000, 0.0000, 0.0000), Fe at (0.0000, 0.0000, 0.5000), Fe at (0.0000, 0.5000, 0.5000), F at (0.0000, 0.0000, 0.2282) and F at (0.0297, 0.5149, 0.7685).

The density of states at the Fermi level comes out at 13.56 states/eV per cell. The total DFT energy (no corrections) comes out at -5.187 eV/atom. For the magnetization, the calculation gives 45.07 Bohr magnetons per cell.